Record 1
AlFe2H2 at its PBEsol-relaxed geometry. Source: Alexandria via LeMat-Bulk, functional meta-GGA SCAN. Values from VASP.

Properties
The total energy is -0.377 hartree per atom. The polymorph energy (0 for the lowest one) is 0 meV per atom. The mass density comes out at 5.93 g/cm3. As for the symmetry: No. 139.

```
&SYSTEM
  ibrav = 0, nat = 5, ntyp = 3
/
ATOMIC_SPECIES
Al 26.98 Al.upf
Fe 55.84 Fe.upf
H 1.01 H.upf
ATOMIC_POSITIONS angstrom
Al 0.0000 0.0000 0.0000
Fe 0.0000 0.0000 3.2170
Fe 0.0000 0.0000 6.1759
H 1.4476 0.0000 2.3482
H 0.0000 1.4476 2.3482
CELL_PARAMETERS angstrom
-1.4476 1.4476 4.6965
1.4476 -1.4476 4.6965
1.4476 1.4476 -4.6965
```

***

Record 2
KBa2Ni at its PBEsol-relaxed geometry. Source: Alexandria via LeMat-Bulk, functional meta-GGA SCAN. Values from VASP.

Properties
The total energy is -0.945 hartree per atom. The value obtained for the formation energy is 0.7 eV per formula unit. The mass density comes out at 3.73 g/cm3. As for the symmetry: No. 65.

```
&SYSTEM
  ibrav = 0, nat = 4, ntyp = 3
/
ATOMIC_SPECIES
K 39.10 K.upf
Ba 137.33 Ba.upf
Ni 58.69 Ni.upf
ATOMIC_POSITIONS angstrom
K 0.0000 0.0000 0.0000
Ba 2.7097 0.0000 3.8603
Ba 2.7097 0.0000 7.3761
Ni 0.0000 0.0000 5.6182
CELL_PARAMETERS angstrom
2.7097 -2.7215 0.0000
2.7097 2.7215 0.0000
0.0000 0.0000 11.2364
```

***

Record 3
Y3Sc2Al3O12 at its PBEsol-relaxed geometry. Source: Alexandria via LeMat-Bulk, functional meta-GGA SCAN. Values from VASP.

Properties
The total energy is -0.524 hartree per atom. The mass density comes out at 4.50 g/cm3. As for the symmetry: No. 230.

```
&SYSTEM
  ibrav = 0, nat = 80, ntyp = 4
/
ATOMIC_SPECIES
Y 88.91 Y.upf
Sc 44.96 Sc.upf
Al 26.98 Al.upf
O 16.00 O.upf
ATOMIC_POSITIONS angstrom
Y 3.0735 1.5367 0.0000
Y 6.1469 3.0735 -1.5367
Y 1.5367 0.0000 3.0735
Y 7.6836 0.0000 3.0735
Y 0.0000 3.0735 1.5367
Y 3.0735 -1.5367 6.1469
Y 3.0735 7.6836 0.0000
Y 6.1469 3.0735 4.6102
Y -1.5367 6.1469 3.0735
Y 4.6102 6.1469 3.0735
Y 0.0000 3.0735 7.6836
Y 3.0735 4.6102 6.1469
Sc 0.0000 0.0000 0.0000
Sc 3.0735 3.0735 -3.0735
Sc 3.0735 -3.0735 3.0735
Sc 6.1469 0.0000 0.0000
Sc -3.0735 3.0735 3.0735
Sc 0.0000 6.1469 0.0000
Sc 0.0000 0.0000 6.1469
Sc 3.0735 3.0735 3.0735
Al 9.2204 1.5367 0.0000
Al 6.1469 -3.0735 4.6102
Al 4.6102 6.1469 -3.0735
Al 4.6102 0.0000 3.0735
Al 3.0735 4.6102 0.0000
Al 6.1469 3.0735 1.5367
Al 0.0000 3.0735 4.6102
Al 3.0735 1.5367 6.1469
Al 1.5367 6.1469 3.0735
Al 1.5367 0.0000 9.2204
Al 0.0000 9.2204 1.5367
Al -3.0735 4.6102 6.1469
O 1.9260 -0.3796 0.7098
O 7.2944 3.7832 -3.4531
O 8.0729 0.3796 0.7098
O 7.2944 -2.3637 3.4531
O 5.7673 -0.7098 1.9260
O 9.6000 -1.1475 2.3637
O 0.7098 1.9260 -0.3796
O 8.5106 2.6938 -1.1475
O 3.7832 3.4531 -1.1475
O 5.4371 1.9260 0.3796
O -0.3796 0.7098 1.9260
O 3.4531 -1.1475 3.7832
O 5.7673 5.4371 -1.9260
O 3.4531 1.1475 2.3637
O 3.7832 -3.4531 7.2944
O 5.4371 -1.9260 5.7673
O 2.3637 3.4531 1.1475
O 6.8567 4.2209 0.3796
O 3.4531 7.2944 -2.3637
O 5.7673 0.7098 4.2209
O 1.9260 5.7673 -0.7098
O 7.2944 2.3637 2.6938
O 1.1475 2.3637 3.4531
O 1.9260 0.3796 5.4371
O 4.2209 5.7673 0.7098
O 4.9994 3.7832 2.6938
O -1.1475 3.7832 3.4531
O 4.2209 0.3796 6.8567
O 0.3796 5.4371 1.9260
O 2.6938 -1.1475 8.5106
O -0.7098 1.9260 5.7673
O 3.7832 2.6938 4.9994
O 0.7098 8.0729 0.3796
O 2.3637 9.6000 -1.1475
O 2.6938 4.9994 3.7832
O 0.3796 0.7098 8.0729
O 2.6938 7.2944 2.3637
O 6.5265 5.4371 4.2209
O 0.7098 4.2209 5.7673
O 2.3637 2.6938 7.2944
O -2.3637 3.4531 7.2944
O 5.4371 4.2209 6.5265
O -3.4531 7.2944 3.7832
O 0.3796 6.8567 4.2209
O -1.1475 8.5106 2.6938
O -1.9260 5.7673 5.4371
O -1.1475 2.3637 9.6000
O 4.2209 6.5265 5.4371
CELL_PARAMETERS angstrom
-6.1469 6.1469 6.1469
6.1469 -6.1469 6.1469
6.1469 6.1469 -6.1469
```

***

Record 4
BPOs2 at its PBEsol-relaxed geometry. Source: Alexandria via LeMat-Bulk, functional meta-GGA SCAN. Values from VASP.

Properties
The total energy is -1.477 hartree per atom. The value obtained for the formation energy is 0.8 eV per formula unit. The mass density comes out at 15.58 g/cm3. As for the symmetry: No. 225.

```
&SYSTEM
  ibrav = 0, nat = 4, ntyp = 3
/
ATOMIC_SPECIES
B 10.81 B.upf
P 30.97 P.upf
Os 190.23 Os.upf
ATOMIC_POSITIONS angstrom
B 0.0000 0.0000 0.0000
P 2.8229 2.8229 2.8229
Os 1.4115 1.4115 1.4115
Os 4.2344 4.2344 4.2344
CELL_PARAMETERS angstrom
0.0000 2.8229 2.8229
2.8229 0.0000 2.8229
2.8229 2.8229 0.0000
```

***

Record 5
Si2AgSb at its PBEsol-relaxed geometry. Source: Alexandria via LeMat-Bulk, functional meta-GGA SCAN. Values from VASP.

Properties
The total energy is -0.790 hartree per atom. The mass density comes out at 6.40 g/cm3. As for the symmetry: No. 119.

```
&SYSTEM
  ibrav = 0, nat = 4, ntyp = 3
/
ATOMIC_SPECIES
Si 28.09 Si.upf
Ag 107.87 Ag.upf
Sb 121.76 Sb.upf
ATOMIC_POSITIONS angstrom
Si 0.0000 0.0000 0.0000
Si 0.0000 2.2457 1.8384
Ag 0.0000 0.0000 3.6768
Sb 2.2457 0.0000 1.8384
CELL_PARAMETERS angstrom
-2.2457 2.2457 3.6768
2.2457 -2.2457 3.6768
2.2457 2.2457 -3.6768
```

***

Record 6
AlNi2O4 at its PBEsol-relaxed geometry. Source: Alexandria via LeMat-Bulk, functional meta-GGA SCAN. Values from VASP.

Properties
The total energy is -0.414 hartree per atom. The polymorph energy (0 for the lowest one) is 11 meV per atom. The mass density comes out at 5.32 g/cm3. As for the symmetry: No. 74.

```
&SYSTEM
  ibrav = 0, nat = 14, ntyp = 3
/
ATOMIC_SPECIES
Al 26.98 Al.upf
Ni 58.69 Ni.upf
O 16.00 O.upf
ATOMIC_POSITIONS angstrom
Al -1.4208 1.4310 1.9999
Al 1.4208 1.4310 1.9999
Ni 0.0000 0.0000 0.0000
Ni 2.8415 1.4310 -0.9893
Ni 0.0000 2.8619 0.0000
Ni 0.0000 1.4310 4.9891
O 1.3113 1.4310 0.0987
O 1.5302 -1.4310 4.0985
O 0.0000 0.1643 1.9289
O 2.8415 0.1643 2.0710
O 0.0000 2.6977 1.9289
O 2.8415 2.6977 2.0710
O 1.3113 4.2929 -0.0987
O 1.5302 1.4310 3.9012
CELL_PARAMETERS angstrom
-2.8415 2.8619 3.9999
2.8415 -2.8619 3.9999
2.8415 2.8619 -3.9999
```

***

Record 7
Sr2RhCl at its PBEsol-relaxed geometry. Source: Alexandria via LeMat-Bulk, functional meta-GGA SCAN. Values from VASP.

Properties
The total energy is -0.832 hartree per atom. The polymorph energy (0 for the lowest one) is 40 meV per atom. The mass density comes out at 4.66 g/cm3. As for the symmetry: No. 160.

```
&SYSTEM
  ibrav = 0, nat = 4, ntyp = 3
/
ATOMIC_SPECIES
Sr 87.62 Sr.upf
Rh 102.91 Rh.upf
Cl 35.45 Cl.upf
ATOMIC_POSITIONS angstrom
Sr 0.0000 0.0000 0.0000
Sr 0.0000 0.0000 4.2470
Rh 0.0000 0.0000 13.4700
Cl 0.0000 0.0000 17.2786
CELL_PARAMETERS angstrom
2.0647 1.1920 7.5607
-2.0647 1.1920 7.5607
0.0000 -2.3841 7.5607
```

***

Record 8
SrLiAs2 at its PBEsol-relaxed geometry. Source: Alexandria via LeMat-Bulk, functional meta-GGA SCAN. Values from VASP.

Properties
The total energy is -0.625 hartree per atom. The value obtained for the formation energy is -3.0 eV per formula unit. The polymorph energy (0 for the lowest one) is 0 meV per atom. The mass density comes out at 4.02 g/cm3. As for the symmetry: No. 38.

```
&SYSTEM
  ibrav = 0, nat = 4, ntyp = 3
/
ATOMIC_SPECIES
Sr 87.62 Sr.upf
Li 6.94 Li.upf
As 74.92 As.upf
ATOMIC_POSITIONS angstrom
Sr 0.0000 0.0000 0.0000
Li 2.2639 0.0000 7.7104
As 0.0000 0.0000 3.0266
As 2.2639 0.0000 4.2850
CELL_PARAMETERS angstrom
4.5278 0.0000 0.0000
0.0000 2.1625 5.1533
0.0000 -2.1625 5.1533
```

***

Volume values, unit Å³/atom, following the record order: 7.874, 41.431, 11.613, 11.248, 18.542, 9.294, 27.912, 25.229.